DFT (meta-GGA SCAN) results for a PBEsol-optimized structure of Na2Li4Ti3AlP6O24.

abc: 8.3310 8.3311 8.9279
angles: 62.20 89.37 60.46
Closest atoms and distances in Å follow each position.
Space group P1 (No. 1)
Inequivalent atoms, fractional coordinates:
1 Na 0.0000 0.0000 0.0000  3 O 2.29-2.43
2 Na 0.3808 0.1560 0.5904  3 O 2.26-2.42
3 Li 0.2676 0.9034 0.4347  4 O 1.98-2.07
4 Li 0.5944 0.2937 0.2085  4 O 2.00-2.11
5 Li 0.6955 0.6610 0.7288  4 O 1.96-2.11
6 Li 0.9831 0.5384 0.4056  4 O 1.91-2.04
7 Ti 0.2000 0.3961 0.1284  6 O 1.93-2.11
8 Ti 0.4920 0.8025 0.0048  6 O 1.99-2.10
9 Ti 0.6944 0.3959 0.6118  6 O 1.95-2.14
10 Al 0.9972 0.7921 0.5243  6 O 1.87-1.95
11 P 0.1017 0.3213 0.8025  4 O 1.52-1.56
12 P 0.2972 0.6021 0.3237  4 O 1.53-1.56
13 P 0.3862 0.6024 0.8090  4 O 1.53-1.55
14 P 0.5997 0.8913 0.3229  4 O 1.52-1.57
15 P 0.8222 0.8741 0.8164  4 O 1.53-1.56
16 P 0.8843 0.2964 0.3190  4 O 1.54-1.56
17 O 0.0880 0.2271 0.2950  1 P 1.55
18 O 0.1122 0.4869 0.6299  1 P 1.55
19 O 0.1485 0.3294 0.9620  1 P 1.52
20 O 0.1571 0.7770 0.3642  1 P 1.56
21 O 0.1944 0.7616 0.6600  1 P 1.55
22 O 0.2027 0.4845 0.3144  1 P 1.56
23 O 0.2425 0.0936 0.8353  1 P 1.54
24 O 0.3213 0.7256 0.1428  1 P 1.53
25 O 0.3697 0.4810 0.9945  1 P 1.53
26 O 0.4625 0.7392 0.8088  1 P 1.55
27 O 0.4688 0.1221 0.2928  1 P 1.55
28 O 0.4929 0.4222 0.4638  1 P 1.53
29 O 0.5362 0.4328 0.7706  1 P 1.54
30 O 0.5562 0.8823 0.1631  1 P 1.52
31 O 0.5616 0.7398 0.4841  1 P 1.57
32 O 0.6249 0.9222 0.8431  1 P 1.53
33 O 0.7187 0.4766 0.1460  1 P 1.54
34 O 0.8116 0.8219 0.3671  1 P 1.55
35 O 0.8317 0.0739 0.7509  1 P 1.53
36 O 0.8471 0.8004 0.6817  1 P 1.56
37 O 0.8621 0.3808 0.4461  1 P 1.56
38 O 0.8652 0.0999 0.3905  1 P 1.55
39 O 0.8942 0.3708 0.7762  1 P 1.56
40 O 0.9772 0.6962 0.9953  1 P 1.54

Calculated values
Formation energy from raw total energies ... -2.735 eV/atom
Density ... 3.0 g/cm3
Total moment ... 3.000 μB per cell
Crystal system ... triclinic
Energy ... -9.88 eV per atom

DFT (meta-GGA SCAN) results for a PBEsol-optimized structure of NaLiTiAlP3O12.

abc: 14.5253 8.4602 8.7251
angles: 90.00 124.07 90.00
Closest atoms and distances in Å follow each position.
Space group C2 (No. 5)
Inequivalent atoms, fractional coordinates:
1 Na 0.2409 0.0000 0.2389  4 O 2.29-2.52
2 Li 0.2047 0.8288 0.5766  3 O 1.96-2.13
3 Ti 0.1107 0.0557 0.8190  6 O 1.90-1.98
4 Al 0.1050 0.5514 0.3072  6 O 1.82-2.00
5 P 0.0000 0.7678 0.5000  4 O 1.53-1.55
6 P 0.0000 0.8241 0.0000  4 O 1.52-1.55
7 P 0.1432 0.4060 0.0118  4 O 1.51-1.55
8 P 0.1463 0.2039 0.5050  4 O 1.53-1.55
9 O 0.0348 0.4753 0.8567  1 P 1.51
10 O 0.0381 0.1247 0.3505  1 P 1.54
11 O 0.0668 0.9331 0.9531  1 P 1.55
12 O 0.0681 0.6696 0.4502  1 P 1.53
13 O 0.0865 0.7300 0.1697  1 P 1.52
14 O 0.0898 0.8736 0.6596  1 P 1.55
15 O 0.1465 0.2240 0.9915  1 P 1.55
16 O 0.1470 0.3825 0.4776  1 P 1.53
17 O 0.1625 0.1787 0.6934  1 P 1.54
18 O 0.1681 0.4310 0.2066  1 P 1.54
19 O 0.2385 0.4789 0.0046  1 P 1.55
20 O 0.2425 0.1290 0.5008  1 P 1.55

Calculated values
Formation energy from raw total energies ... -2.802 eV/atom
DOS(E_F) ... 0.00 states/eV per atom
Density ... 2.9 g/cm3
Total moment ... 0.000 μB per cell
Crystal system ... monoclinic
Energy ... -9.98 eV per atom

DFT (meta-GGA SCAN) results for a PBEsol-optimized structure of NaLiAl4Si2O12.

abc: 5.2679 8.9898 19.0343
angles: 90.00 95.37 90.00
Closest atoms and distances in Å follow each position.
Space group Cc (No. 9)
Inequivalent atoms, fractional coordinates:
1 Na 0.0000 0.0868 0.0000  6 O 2.49-2.61
2 Li 0.2380 0.2548 0.2507  6 O 2.14-2.30
3 Al 0.0375 0.4237 0.1042  4 O 1.75-1.79
4 Al 0.2180 0.4044 0.7502  6 O 1.84-1.90
5 Al 0.2798 0.0910 0.7500  6 O 1.80-1.98
6 Al 0.4551 0.2519 0.8961  4 O 1.75-1.78
7 Si 0.0455 0.2452 0.6038  4 O 1.62-1.69
8 Si 0.4637 0.0808 0.3962  4 O 1.62-1.69
9 O 0.0294 0.0434 0.2155  1 O 1.57
10 O 0.0449 0.4392 0.1981  3 Al 1.79-1.90
11 O 0.1022 0.2488 0.6927  1 Si 1.69, 1 Al 1.84
12 O 0.1373 0.4042 0.5746  1 Si 1.62, 1 Al 1.75
13 O 0.2172 0.1124 0.5749  1 Si 1.62, 1 Al 1.76
14 O 0.2415 0.2793 0.0845  1 Si 1.62, 1 Al 1.75
15 O 0.2588 0.3903 0.9264  1 Si 1.63, 1 Al 1.75
16 O 0.2824 0.2181 0.4155  1 Si 1.62, 1 Al 1.75
17 O 0.3619 0.0764 0.9244  1 Si 1.62, 1 Al 1.75
18 O 0.3905 0.2486 0.8025  3 Al 1.78-1.90
19 O 0.4552 0.0692 0.3072  1 Si 1.69, 1 Al 1.85
20 O 0.4714 0.4602 0.2847  1 O 1.57

Calculated values
Formation energy from raw total energies ... -2.915 eV/atom
DOS(E_F) ... 0.00 states/eV per atom
Density ... 2.9 g/cm3
Total moment ... 0.282 μB per cell
Crystal system ... monoclinic
Energy ... -9.54 eV per atom

DFT (meta-GGA SCAN) results for a PBEsol-optimized structure of Na2LiAlP2.

abc: 11.5018 13.5559 5.7483
angles: 90.00 90.00 90.00
Closest atoms and distances in Å follow each position.
Space group Cmce (No. 64)
Inequivalent atoms, fractional coordinates:
1 Na 0.0000 0.1782 0.2140  5 P 2.94-3.06, 2 Li 3.04, 2 Al 3.28
2 Na 0.2500 0.1814 0.7500  5 P 2.94-3.07, 2 Al 3.17, 2 Li 3.22
3 Li 0.1187 0.0000 0.0000  4 P 2.50-2.56, 1 Li 2.73
4 Al 0.1296 0.0000 0.5000  4 P 2.40-2.43
5 P 0.0000 0.1047 0.7149  2 Al 2.40, 2 Li 2.56
6 P 0.2500 0.1018 0.2500  2 Al 2.43, 2 Li 2.50

Calculated values
ΔE_f ... -0.769 eV per atom
DOS(E_F) ... 0.00 states/eV per atom
Density ... 2.1 g/cm3
Total moment ... 0.000 μB per cell
Crystal system ... orthorhombic
Energy ... -7.33 eV per atom

DFT (meta-GGA SCAN) results for a PBEsol-optimized structure of NaLiAl2Rh.

abc: 4.4621 4.4621 4.1010
angles: 90.00 90.00 90.00
Closest atoms and distances in Å follow each position.
Space group P4/mmm (No. 123)
Inequivalent atoms, fractional coordinates:
1 Na 0.0000 0.0000 0.0000  2 Li 2.05
2 Li 0.0000 0.0000 0.5000  2 Na 2.05, 4 Al 2.23
3 Al 0.0000 0.5000 0.5000  2 Li 2.23
4 Rh 0.5000 0.5000 0.0000  8 Al 3.03, 4 Na 3.16

Calculated values
ΔE_f ... 0.659 eV per atom
DOS(E_F) ... 0.71 states/eV per atom
Density ... 3.8 g/cm3
Total moment ... 0.002 μB per cell
Crystal system ... tetragonal
Energy ... -10.52 eV per atom

DFT (meta-GGA SCAN) results for a PBEsol-optimized structure of Na2LiTaAl.

abc: 4.2915 4.2915 5.3097
angles: 90.00 90.00 90.00
Closest atoms and distances in Å follow each position.
Space group P4/mmm (No. 123)
Inequivalent atoms, fractional coordinates:
1 Na 0.0000 0.5000 0.0000  2 Li 2.15
2 Li 0.0000 0.0000 0.0000  4 Na 2.15
3 Ta 0.0000 0.0000 0.5000  2 Li 2.65
4 Al 0.5000 0.5000 0.5000  4 Ta 3.03

Calculated values
ΔE_f ... 1.092 eV per atom
DOS(E_F) ... 0.37 states/eV per atom
Density ... 4.4 g/cm3
Total moment ... 0.000 μB per cell
Crystal system ... tetragonal
Energy ... -15.94 eV per atom

DFT (meta-GGA SCAN) results for a PBEsol-optimized structure of Li2NbAl.

abc: 7.0138 7.0138 5.2829
angles: 90.00 90.00 90.00
Closest atoms and distances in Å follow each position.
Space group I-42d (No. 122)
Inequivalent atoms, fractional coordinates:
1 Li 0.2314 0.2500 0.1250  2 Al 2.48, 2 Li 2.65, 2 Nb 2.66
2 Nb 0.0000 0.0000 0.5000  2 Al 2.64, 4 Li 2.66
3 Al 0.0000 0.0000 0.0000  4 Li 2.48, 2 Nb 2.64

Calculated values
ΔE_f ... 0.604 eV per atom
DOS(E_F) ... 0.79 states/eV per atom
Density ... 3.4 g/cm3
Total moment ... 0.003 μB per cell
Crystal system ... tetragonal
Energy ... -10.81 eV per atom

DFT (meta-GGA SCAN) results for a PBEsol-optimized structure of LiNbAl2Pd.

abc: 5.0400 5.0400 4.7385
angles: 90.00 90.00 90.00
Closest atoms and distances in Å follow each position.
Space group P4/mmm (No. 123)
Inequivalent atoms, fractional coordinates:
1 Li 0.0000 0.0000 0.0000  8 Al 3.46, 4 Pd 3.56
2 Nb 0.5000 0.5000 0.5000  2 Pd 2.37, 4 Al 2.52
3 Al 0.0000 0.5000 0.5000  2 Nb 2.52
4 Pd 0.5000 0.5000 0.0000  2 Nb 2.37

Calculated values
ΔE_f ... 0.676 eV per atom
DOS(E_F) ... 0.53 states/eV per atom
Density ... 3.6 g/cm3
Total moment ... 0.000 μB per cell
Crystal system ... tetragonal
Energy ... -16.08 eV per atom

- total moment of number 3 (NaLiAl4Si2O12)?
  0.282 μB per cell